[1]
Crystalline Dy5ZnPd4 at its relaxed geometry. Source: Alexandria via LeMat-Bulk, functional GGA-PBE.

## Properties
VASP energy   -5.281 eV/atom

```
data_Dy5ZnPd4
_cell_length_a 3.5217
_cell_length_b 3.5217
_cell_length_c 17.5573
_cell_angle_alpha 90.00
_cell_angle_beta 90.00
_cell_angle_gamma 90.00
_symmetry_space_group_name_H-M 'P 4/m m m'
_symmetry_Int_Tables_number 123
_symmetry_space_group_name_Hall '-P 4 2'
loop_
_atom_site_label
_atom_site_fract_x
_atom_site_fract_y
_atom_site_fract_z
Dy1 0.0000 0.0000 0.0000
Dy2 0.0000 0.0000 0.1993
Dy3 0.0000 0.0000 0.3978
Zn1 0.5000 0.5000 0.5000
Pd1 0.5000 0.5000 0.0999
Pd2 0.5000 0.5000 0.3001
```

---

[2]
Crystalline DyZnPd2 at its relaxed geometry. Source: Alexandria via LeMat-Bulk, functional GGA-PBE.

## Properties
VASP energy   -4.755 eV/atom

```
data_DyZnPd2
_cell_length_a 3.3428
_cell_length_b 3.3428
_cell_length_c 6.4261
_cell_angle_alpha 90.00
_cell_angle_beta 90.00
_cell_angle_gamma 90.00
_symmetry_space_group_name_H-M 'P 4/m m m'
_symmetry_Int_Tables_number 123
_symmetry_space_group_name_Hall '-P 4 2'
loop_
_atom_site_label
_atom_site_fract_x
_atom_site_fract_y
_atom_site_fract_z
Dy1 0.0000 0.0000 0.0000
Zn1 0.0000 0.0000 0.5000
Pd1 0.5000 0.5000 0.2812
```

---

[3]
Crystalline Dy4ZnPd7 at its relaxed geometry. Source: Alexandria via LeMat-Bulk, functional GGA-PBE.

## Properties
VASP energy   -5.333 eV/atom

```
data_Dy4ZnPd7
_cell_length_a 10.6881
_cell_length_b 5.1083
_cell_length_c 10.2355
_cell_angle_alpha 90.00
_cell_angle_beta 118.03
_cell_angle_gamma 90.00
_symmetry_space_group_name_H-M 'C 1 2/m 1'
_symmetry_Int_Tables_number 12
_symmetry_space_group_name_Hall '-C 2y'
loop_
_atom_site_label
_atom_site_fract_x
_atom_site_fract_y
_atom_site_fract_z
Dy1 0.0929 0.0000 0.2877
Dy2 0.2102 0.5000 0.1362
Zn1 0.0000 0.5000 0.5000
Pd1 0.0000 0.0000 0.5000
Pd2 0.0822 0.5000 0.7981
Pd3 0.1310 0.0000 0.0173
Pd4 0.2042 0.5000 0.4109
```

---

- VASP energy of number 2 (DyZnPd2)?
  -4.755 eV/atom